[1]
MgNb3Ir: optimized geometry, PBE.

Results
As for the space group: Pm-3m (221). The energy above the most stable polymorph in this dataset is 0 meV per atom. For the energy relative to the elements, the calculation gives 810.9 meV per atom.

Cell lengths 4.9042, 4.9042, 4.9042 Å; angles 90.00, 90.00, 90.00 degrees
Last column: nearest neighbours and their distance in Å.
Fractional positions:
Nb 0.0000 0.5000 0.0000  2 Ir 2.45
Nb 0.0000 0.0000 0.5000  2 Ir 2.45
Nb 0.5000 0.0000 0.0000  2 Ir 2.45
Ir 0.0000 0.0000 0.0000  6 Nb 2.45
Mg 0.5000 0.5000 0.5000  12 Nb 3.47

***

[2]
SbP2NCl: optimized geometry, PBE.

Results
As for the space group: P4/mmm (123). The energy above the most stable polymorph in this dataset is 0 meV per atom.

Cell lengths 4.3625, 4.3625, 4.2420 Å; angles 90.00, 90.00, 90.00 degrees
Last column: nearest neighbours and their distance in Å.
Fractional positions:
Sb 0.5000 0.5000 0.5000  8 P 3.04, 4 Cl 3.08
N 0.0000 0.0000 0.0000  2 Cl 2.12, 4 P 2.18
P 0.0000 0.5000 0.0000  2 N 2.18
P 0.5000 0.0000 0.0000  2 N 2.18
Cl 0.0000 0.0000 0.5000  2 N 2.12

***

[3]
NdDy9Tm2: optimized geometry, PBE.

Results
As for the space group: P6/mmm (191). The energy above the most stable polymorph in this dataset is 14 meV per atom. For the energy relative to the elements, the calculation gives 36.4 meV per atom.

Cell lengths 3.5021, 11.2020, 11.2020 Å; angles 120.00, 90.00, 90.00 degrees
Last column: nearest neighbours and their distance in Å.
Fractional positions:
Nd 0.0000 0.0000 0.0000  2 Nd 3.50, 12 Dy 3.88
Dy 0.0000 0.0000 0.5000  2 Tm 3.23, 10 Dy 3.50-3.58
Dy 0.0000 0.5000 0.5000  2 Tm 3.23, 10 Dy 3.50-3.58
Dy 0.0000 0.5000 0.0000  2 Tm 3.23, 10 Dy 3.50-3.58
Dy 0.5000 0.3570 0.1785  8 Dy 3.46-3.58, 2 Tm 3.48
Dy 0.5000 0.1785 0.8215  8 Dy 3.46-3.58, 2 Tm 3.48
Dy 0.5000 0.1785 0.3570  8 Dy 3.46-3.58, 2 Tm 3.48
Dy 0.5000 0.8215 0.6430  8 Dy 3.46-3.58, 2 Tm 3.48
Dy 0.5000 0.8215 0.1785  8 Dy 3.46-3.58, 2 Tm 3.48
Dy 0.5000 0.6430 0.8215  8 Dy 3.46-3.58, 2 Tm 3.48
Tm 0.0000 0.3333 0.6667  9 Dy 3.23-3.48, 2 Tm 3.50
Tm 0.0000 0.6667 0.3333  9 Dy 3.23-3.48, 2 Tm 3.50

***

[4]
AgSn2Au2: optimized geometry, PBE.

Results
As for the space group: I4/mmm (139). The energy above the most stable polymorph in this dataset is 232 meV per atom. For the energy relative to the elements, the calculation gives 164.7 meV per atom.

Cell lengths 4.3864, 4.3864, 7.0343 Å; angles 71.83, 71.83, 90.00 degrees
Last column: nearest neighbours and their distance in Å.
Fractional positions:
Au 0.3953 0.3953 0.2093  1 Au 2.64, 4 Sn 2.86
Au 0.6047 0.6047 0.7907  1 Au 2.64, 4 Sn 2.86
Sn 0.7500 0.2500 0.5000  4 Au 2.86, 4 Sn 3.10
Sn 0.2500 0.7500 0.5000  4 Au 2.86, 4 Sn 3.10
Ag 0.0000 0.0000 0.0000  8 Au 3.37

***

[5]
Ba2Zn4Ru: optimized geometry, PBE.

Results
As for the space group: I4/mmm (139). For the energy relative to the elements, the calculation gives -95.2 meV per atom.

Cell lengths 4.9544, 4.9544, 9.1174 Å; angles 74.23, 74.23, 90.00 degrees
Last column: nearest neighbours and their distance in Å.
Fractional positions:
Ru 0.0000 0.0000 0.0000  6 Zn 2.42-2.48
Zn 0.8564 0.8564 0.2872  1 Ru 2.42
Zn 0.1436 0.1436 0.7128  1 Ru 2.42
Zn 0.0000 0.5000 0.0000  2 Ru 2.48
Zn 0.5000 0.0000 0.0000  2 Ru 2.48
Ba 0.6425 0.6425 0.7150  9 Zn 3.45-3.60
Ba 0.3575 0.3575 0.2850  9 Zn 3.45-3.60

***

[6]
CrAu3Cl: optimized geometry, PBE.

Results
As for the space group: Pm-3m (221). The energy above the most stable polymorph in this dataset is 0 meV per atom.

Cell lengths 5.0082, 5.0082, 5.0082 Å; angles 90.00, 90.00, 90.00 degrees
Last column: nearest neighbours and their distance in Å.
Fractional positions:
Cr 0.0000 0.0000 0.0000  6 Au 2.50
Au 0.0000 0.5000 0.0000  2 Cr 2.50
Au 0.0000 0.0000 0.5000  2 Cr 2.50
Au 0.5000 0.0000 0.0000  2 Cr 2.50
Cl 0.5000 0.5000 0.5000  12 Au 3.54

***

[7]
LiZrNiPb2: optimized geometry, PBE.

Results
As for the space group: P4/mmm (123). For the energy relative to the elements, the calculation gives 534.7 meV per atom.

Cell lengths 5.7254, 4.6685, 5.7254 Å; angles 90.00, 90.00, 90.00 degrees
Last column: nearest neighbours and their distance in Å.
Fractional positions:
Pb 0.0000 0.0000 0.5000  2 Zr 2.86
Pb 0.5000 0.0000 0.0000  2 Zr 2.86
Ni 0.0000 0.5000 0.0000  2 Zr 2.33
Zr 0.0000 0.0000 0.0000  2 Ni 2.33
Li 0.5000 0.5000 0.5000  8 Pb 3.69, 4 Ni 4.05

***

[8]
CsBaMo3: optimized geometry, PBE.

Results
As for the space group: Pm-3m (221). For the energy relative to the elements, the calculation gives 2786.0 meV per atom.

Cell lengths 5.1604, 5.1604, 5.1604 Å; angles 90.00, 90.00, 90.00 degrees
Last column: nearest neighbours and their distance in Å.
Fractional positions:
Cs 0.0000 0.0000 0.0000  6 Mo 2.58
Mo 0.0000 0.5000 0.0000  2 Cs 2.58
Mo 0.0000 0.0000 0.5000  2 Cs 2.58
Mo 0.5000 0.0000 0.0000  2 Cs 2.58
Ba 0.5000 0.5000 0.5000  12 Mo 3.65

***

[9]
Sc2TiNbW: optimized geometry, PBE.

Results
As for the space group: P4/mmm (123). For the energy relative to the elements, the calculation gives 1015.3 meV per atom.

Cell lengths 5.0331, 4.8305, 5.0331 Å; angles 90.00, 90.00, 90.00 degrees
Last column: nearest neighbours and their distance in Å.
Fractional positions:
Sc 0.0000 0.0000 0.5000  2 W 2.52
Sc 0.5000 0.0000 0.0000  2 W 2.52
Nb 0.0000 0.5000 0.0000  2 W 2.42
W 0.0000 0.0000 0.0000  2 Nb 2.42, 4 Sc 2.52
Ti 0.5000 0.5000 0.5000  8 Sc 3.49, 4 Nb 3.56

***

[10]
La2Ho4Er5: optimized geometry, PBE.

Results
As for the space group: C2/m (12). The energy above the most stable polymorph in this dataset is 4 meV per atom. For the energy relative to the elements, the calculation gives 155.0 meV per atom.

Cell lengths 6.6426, 8.8863, 10.1914 Å; angles 40.36, 70.98, 68.05 degrees
Last column: nearest neighbours and their distance in Å.
Fractional positions:
La 0.1991 0.8974 0.7045  5 Ho 3.36-3.75, 2 Er 3.39
La 0.8009 0.1026 0.2955  5 Ho 3.36-3.75, 2 Er 3.39
Ho 0.4139 0.7685 0.4037  2 Ho 3.32-3.36, 8 Er 3.58-3.71
Ho 0.5861 0.2315 0.5963  2 Ho 3.32-3.36, 8 Er 3.58-3.71
Ho 0.7564 0.6819 0.8054  4 Er 3.27-3.47, 1 Ho 3.36, 4 La 3.36-3.55
Ho 0.2436 0.3181 0.1946  4 Er 3.27-3.47, 1 Ho 3.36, 4 La 3.36-3.55
Er 0.1744 0.2700 0.9051  4 Er 3.16-3.48, 2 Ho 3.27-3.47, 1 La 3.39
Er 0.8256 0.7300 0.0949  4 Er 3.16-3.48, 2 Ho 3.27-3.47, 1 La 3.39
Er 0.0000 0.5000 0.5000  4 Er 3.32, 4 Ho 3.71
Er 0.6505 0.2700 0.9051  4 Er 3.16-3.48, 2 Ho 3.27-3.47, 1 La 3.39
Er 0.3495 0.7300 0.0949  4 Er 3.16-3.48, 2 Ho 3.27-3.47, 1 La 3.39

***

[11]
Hf2AlI: optimized geometry, PBE.

Results
As for the space group: I-42d (122). The energy above the most stable polymorph in this dataset is 203 meV per atom.

Cell lengths 4.2898, 4.2898, 10.7408 Å; angles 78.48, 78.48, 90.00 degrees
Last column: nearest neighbours and their distance in Å.
Fractional positions:
I 0.0000 0.0000 0.0000  4 Hf 3.01, 4 Al 3.03
I 0.7500 0.2500 0.5000  4 Hf 3.01, 4 Al 3.03
Hf 0.6143 0.1250 0.2500  4 Hf 2.97-3.10, 2 Al 2.97, 2 I 3.01
Hf 0.1357 0.6250 0.2500  4 Hf 2.97-3.10, 2 Al 2.97, 2 I 3.01
Hf 0.3750 0.3857 0.7500  4 Hf 2.97-3.10, 2 Al 2.97, 2 I 3.01
Hf 0.8750 0.8643 0.7500  4 Hf 2.97-3.10, 2 Al 2.97, 2 I 3.01
Al 0.5000 0.5000 0.0000  4 Hf 2.97, 4 I 3.03
Al 0.2500 0.7500 0.5000  4 Hf 2.97, 4 I 3.03

***

[12]
NaSiPb: optimized geometry, PBE.

Results
As for the space group: Cmcm (63). The energy above the most stable polymorph in this dataset is 20 meV per atom.

Cell lengths 3.7811, 4.8734, 8.9509 Å; angles 74.20, 90.00, 90.00 degrees
Last column: nearest neighbours and their distance in Å.
Fractional positions:
Na 0.2500 0.0890 0.8220  6 Si 3.20-3.29, 1 Pb 3.54
Na 0.7500 0.9110 0.1780  6 Si 3.20-3.29, 1 Pb 3.54
Si 0.2500 0.4610 0.0781  2 Si 2.32
Si 0.7500 0.5390 0.9219  2 Si 2.32
Pb 0.7500 0.7057 0.5885  1 Si 2.87
Pb 0.2500 0.2943 0.4115  1 Si 2.87